(1)
VASP calculation (PBE) on a relaxed structure of SnB3F.

Cell and atoms, written as CIF:
```
data_SnB3F
_chemical_formula_sum 'Sn1 B3 F1'
_space_group_name_H-M_alt 'P 1'
_space_group_IT_number 1
_space_group_name_Hall 'P 1'
_cell_length_a 3.9858
_cell_length_b 3.9858
_cell_length_c 3.9858
_cell_angle_alpha 90.00
_cell_angle_beta 90.00
_cell_angle_gamma 90.00
loop_
_atom_site_label
_atom_site_type_symbol
_atom_site_fract_x
_atom_site_fract_y
_atom_site_fract_z
_atom_site_occupancy
Sn1 Sn 0.0000 0.0000 0.0000 1
B1 B 0.0000 0.5000 0.5000 1
B2 B 0.5000 0.0000 0.5000 1
B3 B 0.5000 0.5000 0.0000 1
F1 F 0.5000 0.5000 0.5000 1
```

## Properties
Magnetization (μB per formula unit): 0.00
Crystal system: cubic
Raw formation energy (eV per atom): 1.679
Space-group type: No. 221
Offset from the most stable computed form (meV/atom): 0

(2)
VASP calculation (PBE) on a relaxed structure of YSnS2.

Cell and atoms, written as CIF:
```
data_YSnS2
_chemical_formula_sum 'Y1 Sn1 S2'
_space_group_name_H-M_alt 'P 1'
_space_group_IT_number 1
_space_group_name_Hall 'P 1'
_cell_length_a 8.6492
_cell_length_b 8.6492
_cell_length_c 8.6492
_cell_angle_alpha 26.37
_cell_angle_beta 26.37
_cell_angle_gamma 26.37
loop_
_atom_site_label
_atom_site_type_symbol
_atom_site_fract_x
_atom_site_fract_y
_atom_site_fract_z
_atom_site_occupancy
Y1 Y 0.0000 0.0000 0.0000 1
Sn1 Sn 0.5000 0.5000 0.5000 1
S1 S 0.1040 0.1040 0.1040 1
S2 S 0.8960 0.8960 0.8960 1
```

## Properties
Magnetization (μB per formula unit): 0.00
Crystal system: trigonal
Raw formation energy (eV per atom): -0.552
Space-group type: No. 166

(3)
VASP calculation (PBE) on a relaxed structure of Cu2W.

Cell and atoms, written as CIF:
```
data_Cu2W
_chemical_formula_sum 'Cu4 W2'
_space_group_name_H-M_alt 'P 1'
_space_group_IT_number 1
_space_group_name_Hall 'P 1'
_cell_length_a 4.9734
_cell_length_b 4.9734
_cell_length_c 4.9734
_cell_angle_alpha 103.85
_cell_angle_beta 103.85
_cell_angle_gamma 121.42
loop_
_atom_site_label
_atom_site_type_symbol
_atom_site_fract_x
_atom_site_fract_y
_atom_site_fract_z
_atom_site_occupancy
Cu1 Cu 0.1415 0.6415 0.7831 1
Cu2 Cu 0.3585 0.1415 0.5000 1
Cu3 Cu 0.6415 0.8585 0.5000 1
Cu4 Cu 0.8585 0.3585 0.2169 1
W1 W 0.2500 0.2500 0.0000 1
W2 W 0.7500 0.7500 0.0000 1
```

## Properties
Magnetization (μB per formula unit): 0.00
Crystal system: tetragonal
Energy relative to the elements (meV/atom): 810
Space-group type: No. 140